Here is crystalline NdThSb at its relaxed geometry from Alexandria via LeMat-Bulk. Energies are from GGA-PBE.

Unit cell a=4.111 b=4.111 c=6.182 alpha=109.42 beta=109.42 gamma=90.00
Element x y z (fractional)
Sb 0.285 0.285 0.570
Nd 0.932 0.932 0.865
Th 0.633 0.633 0.265

Computed properties:
Energy relative to the elements, uncorrected ... -0.524 eV/atom
Space-group type ... I4mm (107)
Total magnetization ... 0.00 μB per cell


Here is crystalline NaLa2Cu at its relaxed geometry from Alexandria via LeMat-Bulk. Energies are from GGA-PBE.

Unit cell a=3.705 b=3.705 c=9.057 alpha=90.00 beta=90.00 gamma=90.00
Element x y z (fractional)
Na 0.500 0.500 0.500
Cu 0.500 0.500 0.000
La 0.000 0.000 0.818
La 0.000 0.000 0.182

Computed properties:
Energy of formation ... 0.023 eV per atom
Space-group type ... P4/mmm (123)
Total magnetization ... 0.00 μB per cell


Here is crystalline Ba2Tl3Zn at its relaxed geometry from Alexandria via LeMat-Bulk. Energies are from GGA-PBE.

Unit cell a=6.787 b=6.787 c=10.503 alpha=112.66 beta=112.66 gamma=78.90
Element x y z (fractional)
Ba 0.750 0.250 0.500
Ba 0.751 0.249 0.000
Ba 0.250 0.750 0.500
Ba 0.249 0.751 0.000
Tl 0.828 0.828 0.174
Tl 0.654 0.654 0.826
Tl 0.172 0.172 0.826
Tl 0.346 0.346 0.174
Tl 0.173 0.173 0.346
Tl 0.827 0.827 0.654
Zn 0.667 0.667 0.334
Zn 0.333 0.333 0.666

Computed properties:
Energy of formation ... -0.308 eV per atom
Space-group type ... Fmmm (69)
Total magnetization ... 0.00 μB per cell


Here is crystalline PuCoC at its relaxed geometry from Alexandria via LeMat-Bulk. Energies are from GGA-PBE.

Unit cell a=5.573 b=5.059 c=5.060 alpha=51.72 beta=56.58 gamma=56.58
Site moments in Bohr magnetons follow the coordinates.
Element x y z (fractional)
Pu 0.961 0.768 0.955  4.79
Pu 0.461 0.268 0.455  4.79
Co 0.211 0.003 0.219  -0.18
Co 0.711 0.532 0.690  -0.18
C 0.461 0.268 0.955  -0.05
C 0.961 0.268 0.955  -0.05

Computed properties:
Energy of formation ... 0.154 eV per atom
Space-group type ... Imma (74)
Total magnetization ... 9.49 μB per cell